# 1
VASP calculation (PBE) on Sr3Tl2Ag after structural relaxation.

a = 5.712 Å, b = 17.155 Å, c = 4.041 Å
α = 90.00°, β = 90.00°, γ = 90.00°
Space group Cmmm (No. 65)
Asymmetric unit:
Sr 0.000 0.000 0.000
Sr 0.000 0.341 0.000
Tl 0.000 0.174 0.500
Ag 0.000 0.500 0.500

Output
**Polymorph energy (0 for the lowest one)**: 0.0 kJ/mol of atoms

=====

# 2
VASP calculation (PBE) on SrTl2Ag after structural relaxation.

a = 4.004 Å, b = 4.004 Å, c = 7.307 Å
α = 90.00°, β = 90.00°, γ = 90.00°
Space group P4mm (No. 99)
Asymmetric unit:
Sr 0.000 0.000 0.000
Tl 0.000 0.000 0.533
Tl 0.500 0.500 0.283
Ag 0.500 0.500 0.741

Output
**Raw total energy**: -2.463 eV/atom

=====

# 3
VASP calculation (PBE) on SrTl2Ag after structural relaxation.

a = 4.704 Å, b = 4.704 Å, c = 22.758 Å
α = 90.00°, β = 90.00°, γ = 90.00°
Space group I-42d (No. 122)
Asymmetric unit:
Sr 0.000 0.000 0.000
Tl 0.219 0.250 0.625
Ag 0.000 0.000 0.500

Output
**Raw total energy**: -2.377 eV/atom

=====

# 4
VASP calculation (PBE) on SrTl4Ag after structural relaxation.

a = 9.089 Å, b = 9.089 Å, c = 9.089 Å
α = 90.00°, β = 90.00°, γ = 90.00°
Space group F-43m (No. 216)
Asymmetric unit:
Sr 0.000 0.000 0.000
Tl 0.124 0.124 0.624
Ag 0.250 0.250 0.250

Output
**Raw total energy**: -2.302 eV/atom

=====

# 5
VASP calculation (PBE) on Sr4TlAg3 after structural relaxation.

a = 4.355 Å, b = 4.991 Å, c = 12.209 Å
α = 90.00°, β = 90.00°, γ = 90.00°
Space group Pmm2 (No. 25)
Asymmetric unit:
Sr 0.000 0.000 0.000
Sr 0.000 0.500 0.275
Sr 0.500 0.000 0.489
Sr 0.500 0.500 0.779
Tl 0.000 0.000 0.711
Ag 0.000 0.500 0.558
Ag 0.500 0.000 0.206
Ag 0.500 0.500 0.068

Output
**Polymorph energy (0 for the lowest one)**: 0.0 kJ/mol of atoms

=====

# 6
VASP calculation (PBE) on Sr3Tl3Ag8 after structural relaxation.

a = 4.930 Å, b = 9.947 Å, c = 14.617 Å
α = 90.00°, β = 90.00°, γ = 90.00°
Space group Immm (No. 71)
Asymmetric unit:
Sr 0.000 0.000 0.000
Sr 0.000 0.000 0.299
Tl 0.000 0.215 0.500
Tl 0.000 0.500 0.000
Ag 0.000 0.277 0.142
Ag 0.000 0.360 0.329

Output
**Raw total energy**: -2.675 eV/atom

=====

# 7
VASP calculation (PBE) on Sr3Tl4Ag4 after structural relaxation.

a = 4.810 Å, b = 7.944 Å, c = 16.435 Å
α = 90.00°, β = 90.00°, γ = 90.00°
Space group Immm (No. 71)
Asymmetric unit:
Sr 0.000 0.000 0.000
Sr 0.000 0.500 0.131
Tl 0.000 0.000 0.223
Tl 0.000 0.190 0.500
Ag 0.000 0.317 0.335

Output
**Polymorph energy (0 for the lowest one)**: 2.9 kJ/mol of atoms

=====

# 8
VASP calculation (PBE) on Sr3Tl3Ag2 after structural relaxation.

a = 4.711 Å, b = 11.956 Å, c = 17.721 Å
α = 90.00°, β = 90.00°, γ = 90.00°
Space group Cmcm (No. 63)
Asymmetric unit:
Sr 0.000 0.070 0.108
Sr 0.000 0.344 0.250
Tl 0.000 0.364 0.037
Tl 0.000 0.372 0.750
Ag 0.000 0.225 0.614

Output
**Raw total energy**: -2.545 eV/atom

=====

# 9
VASP calculation (PBE) on SrTl2Ag after structural relaxation.

a = 5.469 Å, b = 5.469 Å, c = 7.495 Å
α = 90.00°, β = 90.00°, γ = 90.00°
Space group I-4m2 (No. 119)
Asymmetric unit:
Sr 0.000 0.000 0.000
Tl 0.000 0.000 0.500
Tl 0.000 0.500 0.750
Ag 0.000 0.500 0.250

Output
**Raw total energy**: -2.497 eV/atom

=====

# 10
VASP calculation (PBE) on SrTl2Ag after structural relaxation.

a = 4.8989 Å, b = 4.8989 Å, c = 17.1055 Å
α = 90.00°, β = 90.00°, γ = 120.00°
Space group R-3m (No. 166, hexagonal axes)
Asymmetric unit:
Sr 0.0000 0.0000 0.0000
Tl 0.0000 0.0000 0.2212
Ag 0.0000 0.0000 0.5000

Output
**Raw total energy**: -2.516 eV/atom

=====

# 11
VASP calculation (PBE) on SrTl4Ag after structural relaxation.

a = 6.451 Å, b = 20.950 Å, c = 6.107 Å
α = 90.00°, β = 118.33°, γ = 90.00°
Space group C2/c (No. 15)
Asymmetric unit:
Sr 0.000 0.097 0.250
Tl 0.189 0.446 0.103
Tl 0.239 0.212 0.729
Ag 0.000 0.338 0.750

Output
**Raw total energy**: -2.436 eV/atom

=====

# 12
VASP calculation (PBE) on SrTl2Ag after structural relaxation.

a = 8.945 Å, b = 8.309 Å, c = 6.232 Å
α = 90.00°, β = 90.00°, γ = 90.00°
Space group Pnma (No. 62)
Asymmetric unit:
Sr 0.041 0.250 0.118
Tl 0.185 0.050 0.625
Ag 0.093 0.750 0.381

Output
**Raw total energy**: -2.545 eV/atom

=====

# 13
VASP calculation (PBE) on Sr3Tl2Ag4 after structural relaxation.

a = 11.976 Å, b = 4.888 Å, c = 9.611 Å
α = 90.00°, β = 112.67°, γ = 90.00°
Space group C2/m (No. 12)
Asymmetric unit:
Sr 0.000 0.000 0.000
Sr 0.145 0.500 0.689
Tl 0.148 0.500 0.314
Ag 0.080 0.000 0.420
Ag 0.225 0.500 0.058

Output
**Raw total energy**: -2.633 eV/atom

=====

# 14
VASP calculation (PBE) on Sr2TlAg3 after structural relaxation.

a = 4.423 Å, b = 4.551 Å, c = 17.744 Å
α = 90.00°, β = 90.00°, γ = 90.00°
Space group Imm2 (No. 44)
Asymmetric unit:
Sr 0.000 0.000 0.000
Sr 0.000 0.500 0.269
Tl 0.000 0.000 0.595
Ag 0.000 0.000 0.432
Ag 0.000 0.500 0.687
Ag 0.000 0.500 0.842

Output
**Polymorph energy (0 for the lowest one)**: 1.5 kJ/mol of atoms

=====

# 15
VASP calculation (PBE) on SrTl2Ag2 after structural relaxation.

a = 5.457 Å, b = 5.462 Å, c = 5.528 Å
α = 71.29°, β = 89.90°, γ = 60.07°
Space group P-1 (No. 2)
Asymmetric unit:
Sr 0.000 0.000 0.000
Tl 0.258 0.485 0.681
Ag 0.388 0.222 0.251

Output
**Polymorph energy (0 for the lowest one)**: 0.5 kJ/mol of atoms

=====

# 16
VASP calculation (PBE) on Sr2TlAg3 after structural relaxation.

a = 8.102 Å, b = 9.881 Å, c = 17.117 Å
α = 90.00°, β = 90.00°, γ = 90.00°
Space group Fmmm (No. 69)
Asymmetric unit:
Sr 0.246 0.000 0.000
Sr 0.250 0.250 0.250
Tl 0.000 0.000 0.333
Ag 0.000 0.000 0.164
Ag 0.000 0.247 0.082

Output
**Polymorph energy (0 for the lowest one)**: 0.0 kJ/mol of atoms

=====

# 17
VASP calculation (PBE) on Sr2TlAg16 after structural relaxation.

a = 9.8722 Å, b = 9.8722 Å, c = 14.2900 Å
α = 90.00°, β = 90.00°, γ = 120.00°
Space group R3m (No. 160, hexagonal axes)
Asymmetric unit:
Sr 0.0000 0.0000 0.0000
Sr 0.0000 0.0000 0.3122
Tl 0.0000 0.0000 0.7498
Ag 0.0000 0.0000 0.5498
Ag 0.0000 0.3056 0.6512
Ag 0.9997 0.4998 0.8070
Ag 0.0057 0.5029 0.1519
Ag 0.1704 0.3408 0.8304

Output
**Raw total energy**: -2.797 eV/atom

=====

# 18
VASP calculation (PBE) on Sr2Tl8Ag after structural relaxation.

a = 5.071 Å, b = 5.071 Å, c = 12.951 Å
α = 90.00°, β = 90.00°, γ = 90.00°
Space group P4/mmm (No. 123)
Asymmetric unit:
Sr 0.000 0.000 0.190
Tl 0.000 0.500 0.000
Tl 0.000 0.500 0.374
Tl 0.500 0.500 0.186
Ag 0.000 0.000 0.500

Output
**Raw total energy**: -2.451 eV/atom

=====

# 19
VASP calculation (PBE) on Sr2Tl2Ag3 after structural relaxation.

a = 11.934 Å, b = 4.702 Å, c = 7.474 Å
α = 90.00°, β = 112.03°, γ = 90.00°
Space group C2/m (No. 12)
Asymmetric unit:
Sr 0.132 0.000 0.265
Tl 0.163 0.000 0.748
Ag 0.000 0.500 0.500
Ag 0.092 0.500 0.919

Output
**Raw total energy**: -2.612 eV/atom

=====

# 20
VASP calculation (PBE) on Sr6Tl2Ag after structural relaxation.

a = 6.966 Å, b = 9.667 Å, c = 13.055 Å
α = 90.00°, β = 121.99°, γ = 90.00°
Space group P2_1/c (No. 14)
Asymmetric unit:
Sr 0.050 0.166 0.432
Sr 0.321 0.681 0.437
Sr 0.331 0.034 0.227
Tl 0.194 0.124 0.756
Ag 0.500 0.000 0.500

Output
**Polymorph energy (0 for the lowest one)**: 0.0 kJ/mol of atoms

=====

no.,calculated volume (A^3/atom),density of states at the Fermi level (states/eV per atom),spin magnetization (μB/f.u.)
1,33.00,0.619,0.00
2,29.29,0.495,0.00
3,31.47,0.740,0.00
4,31.29,0.715,0.00
5,33.17,0.415,0.00
6,25.60,0.332,0.00
7,28.55,0.765,0.00
8,31.19,0.781,0.00
9,28.03,0.541,0.00
10,29.63,0.596,0.00
11,30.27,0.423,0.00
12,28.95,0.575,0.00
13,28.84,0.738,0.00
14,29.77,0.552,0.00
15,26.54,0.270,0.00
16,28.55,0.576,0.00
17,21.16,0.326,0.00
18,30.27,0.522,0.00
19,27.77,0.710,0.00
20,41.43,0.813,0.00